Entry 1:
Density functional theory data (SCAN) for a PBEsol-optimized structure of Ca2InSb.

Computed properties:
Its symmetry is P4/mmm. The density is 4.82 g/cm3. The value obtained for the formation energy from raw total energies is -754.6 meV/atom.

POSCAR file:
```
Ca2InSb
1.0
4.2904 0.0350 0.0357
-0.0421 5.0426 0.0505
-0.0421 -0.0511 5.0426
Sb Ca In
1 2 1
Direct
0.5000 0.5000 0.5000 Sb
0.0000 0.5000 0.0000 Ca
0.0000 0.0000 0.5000 Ca
0.5000 0.0000 0.0000 In
```

---

Entry 2:
Density functional theory data (SCAN) for a PBEsol-optimized structure of CaInSb.

Computed properties:
Its symmetry is F-43m. The density is 4.56 g/cm3. The value obtained for the formation energy from raw total energies is -384.2 meV/atom.

POSCAR file:
```
CaInSb
1.0
5.2238 0.0000 0.0000
2.6119 4.5239 0.0000
2.6119 1.5080 4.2652
Ca In Sb
1 1 1
Direct
0.0000 0.0000 0.0000 Ca
0.5000 0.5000 0.5000 In
0.2500 0.2500 0.2500 Sb
```

---

Entry 3:
Density functional theory data (SCAN) for a PBEsol-optimized structure of Ca2InSb.

Computed properties:
Its symmetry is P4/mmm. The density is 4.76 g/cm3. The value obtained for the formation energy from raw total energies is -749.0 meV/atom.

POSCAR file:
```
Ca2InSb
1.0
3.9999 0.0000 0.0000
0.0000 3.9999 0.0000
0.0000 0.0000 6.9016
Ca In Sb
2 1 1
Direct
0.0000 0.0000 0.2640 Ca
0.0000 0.0000 0.7360 Ca
0.5000 0.5000 0.0000 In
0.5000 0.5000 0.5000 Sb
```

---

Q: Which of these has the lowest formation energy from raw total energies?
A: number 1

---

Q: Look up the formation energy from raw total energies of the third one.
A: -749.0 meV/atom

---

Q: formation energy from raw total energies of number 3 (Ca2InSb)?
A: -749.0 meV/atom